An optimized crystal structure of Zn2Ag3Au, computed with PBE.

* spin magnetization: 0.00 μB/cell
* crystal system: triclinic
* formation energy: -4 kJ/mol of atoms
* N(E_F): 1.8 states/eV/f.u.
* relative energy among the computed polymorphs: 0.000 eV per atom
* uncorrected energy: -2.44 eV per atom

Unit cell a=4.613 b=4.922 c=9.629 alpha=75.73 beta=76.39 gamma=88.36
Space group P-1 (No. 2)
Inequivalent atoms, fractional coordinates:
Zn 0.047 0.372 0.397 (multiplicity 2)
Zn 0.296 0.109 0.911 (multiplicity 2)
Ag 0.134 0.975 0.239 (multiplicity 2)
Ag 0.210 0.566 0.073 (multiplicity 2)
Ag 0.450 0.220 0.578 (multiplicity 2)
Au 0.378 0.653 0.748 (multiplicity 2)